Tm2Zr2Bi2C: optimized geometry, PBE.

Results
Total magnetization: 0.00 μB/f.u.
N(E_F): 4.3 states/eV/cell
Volume: 23.635 A^3/atom
Crystal system: tetragonal
Energy of formation from the pure elements: -0.602 eV/atom

Cell and atoms, written as POSCAR:
```
Tm2Zr2Bi2C
1.0
4.564 0.000 0.000
0.000 4.564 0.000
-2.282 -2.282 7.943
Bi Zr Tm C
2 2 2 1
Cartesian
2.282 2.282 2.283 Bi
0.000 0.000 5.661 Bi
2.282 0.000 0.000 Zr
0.000 2.282 0.000 Zr
2.282 2.282 5.485 Tm
0.000 0.000 2.458 Tm
0.000 0.000 0.000 C
```

***

UBiC: optimized geometry, PBE.

Results
Total magnetization: 1.95 μB/f.u.
N(E_F): 12.2 states/eV/cell
Volume: 23.408 A^3/atom
Crystal system: monoclinic
Energy of formation from the pure elements: 0.129 eV/atom

Cell and atoms, written as POSCAR:
```
UBiC
1.0
-3.130 -0.817 -1.648
-2.249 -0.693 2.764
-6.083 9.666 0.943
C Bi U
2 2 2
Cartesian
-2.390 -0.712 2.059 C
-2.989 -0.797 -0.942 C
-5.382 2.419 1.006 Bi
-6.081 5.738 1.053 Bi
-2.026 0.940 0.378 U
-9.437 7.217 1.681 U
```

***

U3BiC: optimized geometry, PBE.

Results
Total magnetization: 3.96 μB/f.u.
N(E_F): 13.8 states/eV/cell
Volume: 21.090 A^3/atom
Crystal system: cubic
Energy of formation from the pure elements: 0.048 eV/atom

Cell and atoms, written as POSCAR:
```
U3BiC
1.0
4.724 0.000 0.000
0.000 4.724 0.000
0.000 0.000 4.724
C Bi U
1 1 3
Cartesian
0.000 0.000 0.000 C
2.362 2.362 2.362 Bi
0.000 0.000 2.362 U
0.000 2.362 0.000 U
2.362 0.000 0.000 U
```

***

V2BiC: optimized geometry, PBE.

Results
Total magnetization: 0.20 μB/f.u.
N(E_F): 10.3 states/eV/cell
Volume: 18.128 A^3/atom
Crystal system: tetragonal
Energy of formation from the pure elements: 0.509 eV/atom

Cell and atoms, written as POSCAR:
```
V2BiC
1.0
-4.875 -0.515 -1.590
-0.563 -4.109 3.058
-4.386 0.938 4.794
Bi V C
2 4 2
Cartesian
0.000 0.000 0.000 Bi
-5.990 -0.945 1.969 Bi
-3.460 -0.521 0.833 V
-7.961 -2.708 4.408 V
-5.416 -1.666 4.619 V
-2.812 -2.478 2.665 V
-3.834 -2.742 4.293 C
-2.719 -2.312 0.734 C
```

***

V2BiC: optimized geometry, PBE.

Results
Total magnetization: 0.00 μB/f.u.
N(E_F): 4.2 states/eV/cell
Volume: 14.658 A^3/atom
Crystal system: cubic
Energy of formation from the pure elements: 1.296 eV/atom

Cell and atoms, written as POSCAR:
```
V2BiC
1.0
0.000 3.083 3.083
3.083 0.000 3.083
3.083 3.083 0.000
C Bi V
1 1 2
Cartesian
0.000 0.000 0.000 C
3.083 3.083 3.083 Bi
4.625 4.625 4.625 V
1.542 1.542 1.542 V
```

***

V3BiC: optimized geometry, PBE.

Results
Total magnetization: 8.02 μB/f.u.
N(E_F): 9.9 states/eV/cell
Volume: 27.896 A^3/atom
Crystal system: cubic
Energy of formation from the pure elements: 2.736 eV/atom

Cell and atoms, written as POSCAR:
```
V3BiC
1.0
5.186 0.000 0.000
0.000 5.186 0.000
0.000 0.000 5.186
C V Bi
1 3 1
Cartesian
2.593 2.593 2.593 C
2.593 0.000 0.000 V
0.000 0.000 2.593 V
0.000 2.593 0.000 V
0.000 0.000 0.000 Bi
```

***

VBi2C2: optimized geometry, PBE.

Results
Total magnetization: 2.79 μB/f.u.
Polymorph energy (0 for the lowest one): 136 meV per atom
N(E_F): 3.8 states/eV/cell
Volume: 19.415 A^3/atom
Crystal system: tetragonal
Energy of formation from the pure elements: 1.427 eV/atom

Cell and atoms, written as POSCAR:
```
VBi2C2
1.0
-4.440 -0.649 0.041
0.411 -3.015 -3.298
-1.473 -5.334 1.640
Bi C V
2 2 1
Cartesian
-1.538 -5.091 -1.643 Bi
-3.964 -3.908 0.026 Bi
-3.560 -6.695 -0.428 C
-1.942 -2.303 -1.189 C
0.000 0.000 0.000 V
```

***

V2Bi2C: optimized geometry, PBE.

Results
Total magnetization: 0.00 μB/f.u.
Polymorph energy (0 for the lowest one): 0 meV per atom
N(E_F): 4.8 states/eV/cell
Volume: 18.999 A^3/atom
Crystal system: tetragonal
Energy of formation from the pure elements: 1.344 eV/atom

Cell and atoms, written as POSCAR:
```
V2Bi2C
1.0
3.381 0.000 0.000
0.000 3.381 0.000
1.690 1.690 8.311
C V Bi
1 2 2
Cartesian
0.000 0.000 0.000 C
3.381 1.690 4.156 V
1.690 3.381 4.156 V
1.690 1.690 1.591 Bi
3.381 3.381 6.721 Bi
```

***

VBiC3: optimized geometry, PBE.

Results
Total magnetization: 0.00 μB/f.u.
Polymorph energy (0 for the lowest one): 0 meV per atom
N(E_F): 5.4 states/eV/cell
Volume: 13.078 A^3/atom
Crystal system: cubic
Energy of formation from the pure elements: 1.656 eV/atom

Cell and atoms, written as POSCAR:
```
VBiC3
1.0
-1.892 -3.370 1.138
2.852 -2.208 -1.796
2.126 -0.037 3.422
V C Bi
1 3 1
Cartesian
0.000 0.000 0.000 V
-0.946 -1.685 0.569 C
1.063 -0.019 1.711 C
1.426 -1.104 -0.898 C
1.543 -2.807 1.382 Bi
```

***

VBiC: optimized geometry, PBE.

Results
Total magnetization: 0.00 μB/f.u.
N(E_F): 5.9 states/eV/cell
Volume: 17.161 A^3/atom
Crystal system: orthorhombic
Energy of formation from the pure elements: 0.041 eV/atom

Cell and atoms, written as POSCAR:
```
VBiC
1.0
-2.751 1.158 -2.971
2.492 -1.667 -2.957
-5.485 -10.172 1.113
V C Bi
4 4 4
Cartesian
-3.989 -10.072 -0.681 V
-0.792 -1.014 -3.095 V
-6.611 -8.659 -0.689 V
1.829 -2.427 -3.088 V
-2.704 -10.833 -2.168 C
-5.325 -9.420 -2.175 C
-2.078 -0.254 -1.608 C
0.543 -1.666 -1.601 C
-2.704 -7.680 -3.946 Bi
-2.227 -3.652 -2.817 Bi
-2.098 -3.397 0.147 Bi
-2.575 -7.426 -0.982 Bi
```

***

VBiC2: optimized geometry, PBE.

Results
Total magnetization: 0.00 μB/f.u.
N(E_F): 1.7 states/eV/cell
Volume: 15.961 A^3/atom
Crystal system: tetragonal
Energy of formation from the pure elements: 0.870 eV/atom

Cell and atoms, written as POSCAR:
```
VBiC2
1.0
-3.962 3.218 -0.464
-3.056 -3.435 2.266
-2.454 1.815 5.239
C Bi V
4 2 2
Cartesian
-4.746 0.972 4.808 C
-3.116 1.747 1.345 C
-3.374 -1.002 2.626 C
-7.707 1.480 5.303 C
-4.963 2.463 2.838 Bi
0.000 0.000 0.000 Bi
-4.509 -0.864 4.203 V
-3.509 -0.108 0.901 V
```

***

VBi2C2: optimized geometry, PBE.

Results
Total magnetization: 0.50 μB/f.u.
Polymorph energy (0 for the lowest one): 0 meV per atom
N(E_F): 6.3 states/eV/cell
Volume: 18.320 A^3/atom
Crystal system: tetragonal
Energy of formation from the pure elements: 1.291 eV/atom

Cell and atoms, written as POSCAR:
```
VBi2C2
1.0
6.055 0.000 0.000
0.000 6.055 0.000
0.000 0.000 4.998
C Bi V
4 4 2
Cartesian
1.538 4.565 0.000 C
4.516 1.489 0.000 C
1.489 1.538 0.000 C
4.565 4.516 0.000 C
1.904 1.124 2.499 Bi
4.151 4.931 2.499 Bi
1.124 4.151 2.499 Bi
4.931 1.904 2.499 Bi
3.027 3.027 0.000 V
0.000 0.000 0.000 V
```

***

VBi2C: optimized geometry, PBE.

Results
Total magnetization: 2.99 μB/f.u.
N(E_F): 2.0 states/eV/cell
Volume: 24.106 A^3/atom
Crystal system: tetragonal
Energy of formation from the pure elements: 1.244 eV/atom

Cell and atoms, written as POSCAR:
```
VBi2C
1.0
-6.191 -1.058 1.536
1.827 -2.379 5.728
-2.448 2.504 5.470
Bi C V
4 2 2
Cartesian
-3.873 -0.267 2.949 Bi
-5.767 -0.983 10.106 Bi
-0.624 -1.058 5.234 Bi
-3.360 0.443 7.178 Bi
-2.182 -1.718 3.632 C
-1.401 -0.796 7.415 C
0.000 0.000 0.000 V
-5.410 -0.136 5.319 V
```

***

V3BiC: optimized geometry, PBE.

Results
Total magnetization: 0.00 μB/f.u.
N(E_F): 7.4 states/eV/cell
Volume: 13.997 A^3/atom
Crystal system: cubic
Energy of formation from the pure elements: 0.047 eV/atom

Cell and atoms, written as POSCAR:
```
V3BiC
1.0
4.121 0.000 0.000
0.000 4.121 0.000
0.000 0.000 4.121
V C Bi
3 1 1
Cartesian
2.060 0.000 0.000 V
0.000 2.060 0.000 V
0.000 0.000 2.060 V
0.000 0.000 0.000 C
2.060 2.060 2.060 Bi
```

***

V2Bi2C: optimized geometry, PBE.

Results
Total magnetization: 0.00 μB/f.u.
Polymorph energy (0 for the lowest one): 126 meV per atom
N(E_F): 9.2 states/eV/cell
Volume: 21.031 A^3/atom
Crystal system: tetragonal
Energy of formation from the pure elements: 1.470 eV/atom

Cell and atoms, written as POSCAR:
```
V2Bi2C
1.0
-0.441 6.699 2.144
-5.119 1.168 -4.701
-2.899 -1.112 2.880
Bi C V
4 2 4
Cartesian
-1.270 4.835 0.589 Bi
-1.676 1.628 -1.058 Bi
-3.883 6.238 -1.499 Bi
-4.289 3.032 -3.146 Bi
-2.780 3.933 -1.279 C
0.000 0.000 0.000 C
-2.137 2.241 1.828 V
-4.564 0.813 -1.166 V
-6.321 4.513 -1.506 V
-3.894 5.941 1.488 V
```

***

VBiC3: optimized geometry, PBE.

Results
Total magnetization: 1.61 μB/f.u.
Polymorph energy (0 for the lowest one): 1720 meV per atom
N(E_F): 8.9 states/eV/cell
Volume: 17.157 A^3/atom
Crystal system: cubic
Energy of formation from the pure elements: 3.375 eV/atom

Cell and atoms, written as POSCAR:
```
VBiC3
1.0
4.410 0.000 0.000
0.000 4.410 0.000
0.000 0.000 4.410
C Bi V
3 1 1
Cartesian
0.000 0.000 2.205 C
2.205 0.000 0.000 C
0.000 2.205 0.000 C
0.000 0.000 0.000 Bi
2.205 2.205 2.205 V
```

***

YVBiC2: optimized geometry, PBE.

Results
Total magnetization: 0.05 μB/f.u.
N(E_F): 7.4 states/eV/cell
Volume: 21.172 A^3/atom
Crystal system: tetragonal
Energy of formation from the pure elements: 2.382 eV/atom

Cell and atoms, written as POSCAR:
```
YVBiC2
1.0
-0.867 4.456 -0.688
-3.108 0.005 3.946
3.501 1.107 2.756
C Bi V Y
2 1 1 1
Cartesian
1.750 0.553 1.378 C
-0.433 2.228 -0.344 C
0.000 0.000 0.000 Bi
-1.554 0.002 1.973 V
-0.237 2.784 3.007 Y
```

***

Y2VBiC: optimized geometry, PBE.

Results
Total magnetization: 0.13 μB/f.u.
Polymorph energy (0 for the lowest one): 2198 meV per atom
N(E_F): 9.6 states/eV/cell
Volume: 30.109 A^3/atom
Crystal system: tetragonal
Energy of formation from the pure elements: 1.823 eV/atom

Cell and atoms, written as POSCAR:
```
Y2VBiC
1.0
5.864 0.000 0.000
0.000 4.378 0.000
0.000 0.000 5.864
V C Y Bi
1 1 2 1
Cartesian
2.932 2.189 2.932 V
0.000 2.189 0.000 C
0.000 0.000 2.932 Y
2.932 0.000 0.000 Y
0.000 0.000 0.000 Bi
```

***

Y2VBiC: optimized geometry, PBE.

Results
Total magnetization: 2.31 μB/f.u.
Polymorph energy (0 for the lowest one): 0 meV per atom
N(E_F): 4.1 states/eV/cell
Volume: 21.040 A^3/atom
Crystal system: tetragonal
Energy of formation from the pure elements: -0.375 eV/atom

Cell and atoms, written as POSCAR:
```
Y2VBiC
1.0
5.034 0.000 0.000
0.000 5.034 0.000
0.000 0.000 4.151
Y C V Bi
2 1 1 1
Cartesian
0.000 2.517 0.000 Y
2.517 0.000 0.000 Y
0.000 0.000 0.000 C
0.000 0.000 2.075 V
2.517 2.517 2.075 Bi
```

***

BiW2C: optimized geometry, PBE.

Results
Total magnetization: 0.00 μB/f.u.
Polymorph energy (0 for the lowest one): 0 meV per atom
N(E_F): 9.4 states/eV/cell
Volume: 19.984 A^3/atom
Crystal system: tetragonal
Energy of formation from the pure elements: 1.085 eV/atom

Cell and atoms, written as POSCAR:
```
BiW2C
1.0
-3.369 3.625 -1.387
-3.483 -3.634 -1.036
-5.442 0.303 4.487
W C Bi
4 2 2
Cartesian
-7.203 -0.352 2.292 W
-9.525 0.795 1.409 W
-4.492 -1.168 0.081 W
-3.368 1.313 0.345 W
-3.426 -0.004 -1.212 C
-6.176 -1.668 1.119 C
-6.118 1.962 0.944 Bi
0.000 0.000 0.000 Bi
```

***

BiW2C: optimized geometry, PBE.

Results
Total magnetization: 0.00 μB/f.u.
Polymorph energy (0 for the lowest one): 876 meV per atom
N(E_F): 5.5 states/eV/cell
Volume: 15.871 A^3/atom
Crystal system: cubic
Energy of formation from the pure elements: 1.961 eV/atom

Cell and atoms, written as POSCAR:
```
BiW2C
1.0
4.294 0.787 0.995
1.345 0.001 4.271
2.587 -3.317 1.533
C W Bi
1 2 1
Cartesian
0.000 0.000 0.000 C
2.057 -0.632 1.700 W
6.170 -1.897 5.100 W
4.113 -1.265 3.400 Bi
```

***

BiWC3: optimized geometry, PBE.

Results
Total magnetization: 0.00 μB/f.u.
Polymorph energy (0 for the lowest one): 0 meV per atom
N(E_F): 3.4 states/eV/cell
Volume: 14.453 A^3/atom
Crystal system: cubic
Energy of formation from the pure elements: 1.682 eV/atom

Cell and atoms, written as POSCAR:
```
BiWC3
1.0
-1.527 -1.359 -3.629
-3.514 -1.159 1.912
-1.634 3.763 -0.722
Bi C W
1 3 1
Cartesian
-3.337 0.623 -1.220 Bi
-1.757 -0.579 0.956 C
-0.763 -0.680 -1.815 C
-0.817 1.881 -0.361 C
0.000 0.000 0.000 W
```

***

BiWC3: optimized geometry, PBE.

Results
Total magnetization: 0.00 μB/f.u.
Polymorph energy (0 for the lowest one): 2199 meV per atom
N(E_F): 5.7 states/eV/cell
Volume: 15.679 A^3/atom
Crystal system: cubic
Energy of formation from the pure elements: 3.881 eV/atom

Cell and atoms, written as POSCAR:
```
BiWC3
1.0
-3.443 -1.570 2.000
-0.216 -3.174 -2.863
2.533 -2.404 2.474
W C Bi
1 3 1
Cartesian
-0.563 -3.574 0.806 W
-1.721 -0.785 1.000 C
1.267 -1.202 1.237 C
-0.108 -1.587 -1.431 C
0.000 0.000 0.000 Bi
```

***

Y7Bi2C2: optimized geometry, PBE.

Results
Total magnetization: 0.00 μB/f.u.
N(E_F): 8.9 states/eV/cell
Volume: 25.610 A^3/atom
Crystal system: orthorhombic
Energy of formation from the pure elements: -0.291 eV/atom

Cell and atoms, written as POSCAR:
```
Y7Bi2C2
1.0
-2.259 -1.737 -2.023
-6.529 -2.722 6.611
-7.926 5.438 1.162
Y C Bi
7 2 2
Cartesian
-4.721 -0.039 -0.732 Y
-6.487 -0.892 1.974 Y
-9.025 4.390 0.271 Y
-9.972 0.380 4.772 Y
-11.848 2.592 1.949 Y
-12.285 2.723 5.343 Y
-5.637 2.886 0.797 Y
-4.088 -0.967 2.377 C
-12.196 -0.568 5.052 C
-6.878 -0.686 5.252 Bi
-8.566 1.707 2.062 Bi
```

***

Y6Bi2C: optimized geometry, PBE.

Results
Total magnetization: 0.00 μB/f.u.
N(E_F): 19.8 states/eV/cell
Volume: 28.292 A^3/atom
Crystal system: monoclinic
Energy of formation from the pure elements: -0.488 eV/atom

Cell and atoms, written as POSCAR:
```
Y6Bi2C
1.0
-1.004 5.757 2.906
-6.567 1.052 -4.353
-5.269 -4.734 6.805
Bi Y C
4 12 2
Cartesian
-10.453 0.678 2.946 Bi
-5.415 -0.138 -0.649 Bi
-7.425 2.213 6.007 Bi
-2.387 1.397 2.412 Bi
-4.585 1.502 4.929 Y
-10.235 0.899 6.050 Y
-4.422 -1.057 2.275 Y
-4.202 -2.878 5.283 Y
-7.813 -0.766 3.984 Y
-8.255 0.573 0.428 Y
-5.027 2.841 1.373 Y
-8.418 3.132 3.083 Y
-2.605 1.176 -0.692 Y
-7.095 -0.620 7.437 Y
-8.638 4.953 0.074 Y
-5.745 2.695 -2.080 Y
-3.786 3.404 -0.724 C
-2.635 -2.367 3.403 C
```

***

Y4BiC: optimized geometry, PBE.

Results
Total magnetization: 0.00 μB/f.u.
Polymorph energy (0 for the lowest one): 23 meV per atom
N(E_F): 7.9 states/eV/cell
Volume: 30.066 A^3/atom
Crystal system: monoclinic
Energy of formation from the pure elements: -0.226 eV/atom

Cell and atoms, written as POSCAR:
```
Y4BiC
1.0
-3.733 4.059 -2.551
-0.172 -7.828 -0.255
-5.670 -0.139 8.075
C Y Bi
2 8 2
Cartesian
-7.988 3.035 3.487 C
-1.587 -6.943 1.781 C
-6.879 1.971 1.839 Y
-2.696 -5.879 3.429 Y
-0.431 -5.823 0.203 Y
-2.923 -0.434 0.955 Y
-6.652 -3.474 4.314 Y
-3.859 -4.320 0.230 Y
-9.144 1.915 5.065 Y
-5.716 0.412 5.038 Y
-1.501 -3.165 1.906 Bi
-8.074 -0.743 3.362 Bi
```